(1)
The following is a GGA-PBEsol calculation of a relaxed As2W3 crystal, from the Alexandria database.

abc: 4.0672 4.0672 5.7816
angles: 90.00 90.00 120.00
Atoms (fractional coordinates):
1 W 0.3333 0.6667 0.3656
2 W 0.0000 0.0000 0.0000
3 W 0.6667 0.3333 0.6344
4 As 0.3333 0.6667 0.8059
5 As 0.6667 0.3333 0.1941

Values from the calculation:
- space-group type = P-3m1
- formation energy from the elements (kJ/mol of atoms) = 68.4
- DFT total energy (eV for the cell shown) = -48.09


(2)
The following is a GGA-PBEsol calculation of a relaxed YAsW2 crystal, from the Alexandria database.

abc: 3.4755 4.7275 5.2951
angles: 116.51 109.16 90.00
Atoms (fractional coordinates):
1 As 0.2693 0.7693 0.5385
2 Y 0.4982 0.4982 0.9963
3 W 0.0068 0.0068 0.0137
4 W 0.7257 0.2257 0.4515

Values from the calculation:
- space-group type = Imm2
- formation energy from the elements (kJ/mol of atoms) = 29.6
- DFT total energy (eV for the cell shown) = -38.32


(3)
The following is a GGA-PBEsol calculation of a relaxed YAsW2 crystal, from the Alexandria database.

abc: 2.9277 4.9672 4.9901
angles: 90.00 90.00 91.54
Atoms (fractional coordinates):
1 As 0.5000 0.0000 0.5000
2 W 0.3830 0.2489 0.0000
3 W 0.6170 0.7511 0.0000
4 Y 0.0000 0.5000 0.5000

Values from the calculation:
- space-group type = P2/m
- formation energy from the elements (kJ/mol of atoms) = 29.5
- DFT total energy (eV for the cell shown) = -38.32


(4)
The following is a GGA-PBEsol calculation of a relaxed Y2As2W crystal, from the Alexandria database.

abc: 4.1180 6.8862 6.8862
angles: 90.00 90.00 90.00
Atoms (fractional coordinates):
1 Y 0.5000 0.8299 0.3299
2 Y 0.5000 0.1701 0.6701
3 Y 0.5000 0.6701 0.8299
4 Y 0.5000 0.3299 0.1701
5 As 0.0000 0.1419 0.3581
6 As 0.0000 0.8581 0.6419
7 As 0.0000 0.3581 0.8581
8 As 0.0000 0.6419 0.1419
9 W 0.0000 0.5000 0.5000
10 W 0.0000 0.0000 0.0000

Values from the calculation:
- space-group type = P4/mbm
- formation energy from the elements (kJ/mol of atoms) = -70.6
- DFT total energy (eV for the cell shown) = -82.65


(5)
The following is a GGA-PBEsol calculation of a relaxed YAsW2 crystal, from the Alexandria database.

abc: 3.0638 4.6362 5.7938
angles: 113.37 105.03 90.73
Atoms (fractional coordinates):
1 W 0.5000 0.5000 0.5000
2 W 0.0000 0.0000 0.5000
3 As 0.0000 0.5000 0.0000
4 Y 0.5000 0.0000 0.0000

Values from the calculation:
- space-group type = C2/m
- formation energy from the elements (kJ/mol of atoms) = 36.7
- DFT total energy (eV for the cell shown) = -38.02


(6)
The following is a GGA-PBEsol calculation of a relaxed YAsW2 crystal, from the Alexandria database.

abc: 3.2318 3.2318 8.5640
angles: 79.12 79.12 60.00
Atoms (fractional coordinates):
1 As 0.2609 0.2609 0.2173
2 Y 0.5005 0.5005 0.4985
3 W 0.9991 0.9991 0.0027
4 W 0.7395 0.7395 0.7815

Values from the calculation:
- space-group type = R3m
- formation energy from the elements (kJ/mol of atoms) = 22.5
- DFT total energy (eV for the cell shown) = -38.61


(7)
The following is a GGA-PBEsol calculation of a relaxed YAsW2 crystal, from the Alexandria database.

abc: 3.3771 4.2577 5.7405
angles: 111.77 107.11 90.00
Atoms (fractional coordinates):
1 As 0.0000 0.5000 0.0000
2 Y 0.5000 0.0000 0.0000
3 W 0.2566 0.2566 0.5133
4 W 0.7434 0.7434 0.4867

Values from the calculation:
- space-group type = Immm
- formation energy from the elements (kJ/mol of atoms) = 27.9
- DFT total energy (eV for the cell shown) = -38.39


(8)
The following is a GGA-PBEsol calculation of a relaxed Zn2AsW crystal, from the Alexandria database.

abc: 2.7402 4.8108 4.8176
angles: 95.50 90.00 106.55
Atoms (fractional coordinates):
1 As 0.4842 0.9683 0.4606
2 W 0.7434 0.4868 0.2721
3 Zn 0.2613 0.5226 0.7837
4 Zn 0.0111 0.0223 0.9836

Values from the calculation:
- space-group type = Cm
- formation energy from the elements (kJ/mol of atoms) = 22.7
- DFT total energy (eV for the cell shown) = -21.14